Record 1
# Pr2ThZn6 (PBE, optimized geometry)
data_Pr2ThZn6
_chemical_formula_sum 'Pr2 Th1 Zn6'
_space_group_name_H-M_alt 'P 6/m m m'
_space_group_IT_number 191
_space_group_name_Hall '-P 6 2'
_cell_length_a 7.9758
_cell_length_b 7.9758
_cell_length_c 3.5896
_cell_angle_alpha 90.00
_cell_angle_beta 90.00
_cell_angle_gamma 120.00
loop_
_atom_site_label
_atom_site_type_symbol
_atom_site_fract_x
_atom_site_fract_y
_atom_site_fract_z
Pr1 Pr 0.3333 0.6667 0.0000
Th1 Th 0.0000 0.0000 0.0000
Zn1 Zn 0.0000 0.3331 0.5000
# * raw total energy: -27.4 eV for the cell shown



Record 2
# Ac5Co2Ru (PBE, optimized geometry)
data_Ac5Co2Ru
_chemical_formula_sum 'Ac20 Co8 Ru4'
_space_group_name_H-M_alt 'C m c m'
_space_group_IT_number 63
_space_group_name_Hall '-C 2c 2'
_cell_length_a 5.685
_cell_length_b 13.422
_cell_length_c 14.446
_cell_angle_alpha 90.00
_cell_angle_beta 90.00
_cell_angle_gamma 90.00
loop_
_atom_site_label
_atom_site_type_symbol
_atom_site_fract_x
_atom_site_fract_y
_atom_site_fract_z
Ac1 Ac 0.000 0.047 0.119
Ac2 Ac 0.000 0.255 0.750
Ac3 Ac 0.000 0.330 0.065
Co1 Co 0.000 0.144 0.560
Ru1 Ru 0.000 0.199 0.250
# * raw total energy: -176.1 eV for the cell shown



Record 3
# FeReMo2H (PBE, optimized geometry)
data_FeReMo2H
_chemical_formula_sum 'Fe1 Re1 Mo2 H1'
_space_group_name_H-M_alt 'P 4/m m m'
_space_group_IT_number 123
_space_group_name_Hall '-P 4 2'
_cell_length_a 4.786
_cell_length_b 4.786
_cell_length_c 4.605
_cell_angle_alpha 90.00
_cell_angle_beta 90.00
_cell_angle_gamma 90.00
loop_
_atom_site_label
_atom_site_type_symbol
_atom_site_fract_x
_atom_site_fract_y
_atom_site_fract_z
Fe1 Fe 0.000 0.000 0.000
Re1 Re 0.000 0.000 0.500
Mo1 Mo 0.000 0.500 0.500
H1 H 0.500 0.500 0.000
# * distance to the lowest polymorph of the same formula: 2078 meV/atom



The evaluated D(E_F) for the records listed, in turn: 1.050; 0.690; 0.997 states/eV per atom.